Entry from Alexandria via LeMat-Bulk: Sr2MgInBr after structural relaxation (PBE).

Output
- Total moment: 0.0 μB per cell
- Space-group type: No. 123
- Uncorrected formation energy: -0.2570 eV/atom
- Final energy: -0.1566 Ry per atom

Unit cell a=6.463 b=5.082 c=6.463 alpha=90.00 beta=90.00 gamma=90.00
Sites, in units of the cell vectors:
1 Sr 0.000 0.000 0.500
2 Sr 0.500 0.000 0.000
3 Mg 0.000 0.000 0.000
4 Br 0.500 0.500 0.500
5 In 0.000 0.500 0.000